Compound: PaAlMoRh
Source: Alexandria via LeMat-Bulk
Functional: GGA-PBE
Structure: optimized geometry

Lattice parameters (Å, degrees): 4.645 4.645 4.645 60.00 60.00 60.00
Fractional positions:
Al (0.500, 0.500, 0.500)
Rh (0.750, 0.750, 0.750)
Pa (0.000, 0.000, 0.000)
Mo (0.250, 0.250, 0.250)

Results
- electronic total energy (eV/atom) = -8.271
- crystal system = cubic
- space group = F-43m (216)


Compound: Nd4Dy3Ho
Source: Alexandria via LeMat-Bulk
Functional: GGA-PBE
Structure: optimized geometry

Lattice parameters (Å, degrees): 6.318 7.332 11.605 90.00 90.00 90.00
Fractional positions:
Nd (0.482, 0.872, 0.250)
Nd (0.982, 0.128, 0.750)
Nd (0.146, 0.872, 0.500)
Nd (0.147, 0.872, 0.000)
Nd (0.646, 0.128, 0.000)
Nd (0.647, 0.128, 0.500)
Nd (0.482, 0.872, 0.750)
Nd (0.982, 0.128, 0.250)
Ho (0.148, 0.379, 0.000)
Ho (0.648, 0.621, 0.500)
Dy (0.981, 0.621, 0.750)
Dy (0.148, 0.378, 0.500)
Dy (0.481, 0.379, 0.750)
Dy (0.981, 0.621, 0.250)
Dy (0.648, 0.622, 0.000)
Dy (0.481, 0.379, 0.250)

Results
- energy above the lowest structure with this stoichiometry (meV per atom) = 0
- crystal system = orthorhombic
- space group = Pmn2_1 (31)


Compound: SrTbSe2O8
Source: Alexandria via LeMat-Bulk
Functional: GGA-PBE
Structure: optimized geometry

Lattice parameters (Å, degrees): 5.766 5.766 7.371 90.00 90.00 120.00
Fractional positions:
O (0.667, 0.333, 0.996)
O (0.164, 0.329, 0.712)
O (0.836, 0.671, 0.288)
O (0.835, 0.164, 0.288)
O (0.165, 0.836, 0.712)
O (0.329, 0.165, 0.288)
O (0.671, 0.835, 0.712)
O (0.333, 0.667, 0.004)
Sr (0.000, 0.000, 0.000)
Tb (0.000, 0.000, 0.500)
Se (0.333, 0.667, 0.778)
Se (0.667, 0.333, 0.222)

Results
- raw formation energy (eV/f.u.) = -19.61
- crystal system = trigonal
- space group = P-3m1 (164)


Compound: BaFeH2Cl
Source: Alexandria via LeMat-Bulk
Functional: GGA-PBE
Structure: optimized geometry

Lattice parameters (Å, degrees): 4.236 4.647 4.236 90.00 90.00 90.00
Site moments in Bohr magnetons follow the coordinates.
Fractional positions:
Cl (0.000, 0.500, 0.000)  0.06
H (0.500, 0.000, 0.000)  0.00
H (0.000, 0.000, 0.500)  0.00
Ba (0.500, 0.500, 0.500)  -0.01
Fe (0.000, 0.000, 0.000)  2.81

Results
- electronic total energy (eV/atom) = -4.139
- crystal system = tetragonal
- space group = P4/mmm (123)


Compound: HfAsPt3
Source: Alexandria via LeMat-Bulk
Functional: GGA-PBE
Structure: optimized geometry

Lattice parameters (Å, degrees): 4.650 4.650 4.650 90.00 90.00 90.00
Fractional positions:
Hf (0.500, 0.500, 0.500)
As (0.000, 0.000, 0.000)
Pt (0.000, 0.000, 0.500)
Pt (0.000, 0.500, 0.000)
Pt (0.500, 0.000, 0.000)

Results
- energy above the lowest structure with this stoichiometry (meV per atom) = 0
- crystal system = cubic
- space group = Pm-3m (221)


Compound: LiCoH2Se
Source: Alexandria via LeMat-Bulk
Functional: GGA-PBE
Structure: optimized geometry

Lattice parameters (Å, degrees): 3.361 6.221 3.361 90.00 90.00 90.00
Site moments in Bohr magnetons follow the coordinates.
Fractional positions:
Co (0.000, 0.500, 0.000)  1.37
Se (0.500, 0.500, 0.500)  0.09
Li (0.000, 0.000, 0.000)  0.03
H (0.500, 0.000, 0.000)  0.05
H (0.000, 0.000, 0.500)  0.08

Results
- electronic total energy (eV/atom) = -3.268
- crystal system = tetragonal
- space group = P4/mmm (123)


Compound: KTeAu2
Source: Alexandria via LeMat-Bulk
Functional: GGA-PBE
Structure: optimized geometry

Lattice parameters (Å, degrees): 4.666 5.092 5.633 90.27 90.00 90.00
Fractional positions:
Au (0.000, 0.999, 0.003)
Au (0.500, 0.999, 0.266)
K (0.000, 0.500, 0.486)
Te (0.500, 0.002, 0.745)

Results
- raw formation energy (eV/f.u.) = -1.35
- crystal system = monoclinic
- space group = Pm (6)


Compound: LaNd2SmHo4
Source: Alexandria via LeMat-Bulk
Functional: GGA-PBE
Structure: optimized geometry

Lattice parameters (Å, degrees): 12.406 7.221 12.399 106.88 146.15 90.02
Fractional positions:
Ho (0.751, 0.750, 0.499)
Ho (0.750, 0.251, 0.001)
Ho (0.251, 0.250, 0.999)
Ho (0.249, 0.750, 0.500)
Ho (0.250, 0.749, 0.999)
Ho (0.751, 0.250, 0.500)
Ho (0.750, 0.750, 0.001)
Ho (0.250, 0.251, 0.501)
Nd (0.000, 0.000, 0.500)
Nd (0.500, 0.500, 0.000)
Nd (0.500, 0.000, 0.000)
Nd (0.500, 0.000, 0.500)
La (0.500, 0.500, 0.500)
La (0.000, 0.000, 0.000)
Sm (0.000, 0.500, 0.500)
Sm (0.000, 0.500, 0.000)

Results
- electronic total energy (eV/atom) = -4.672
- crystal system = monoclinic
- space group = C2/m (12)